First-principles (PBE) data for crystalline K2YZn at its relaxed geometry, as listed in the Alexandria database.

Cell lengths 3.7687, 3.7687, 38.3545 Å; angles 90.00, 90.00, 120.00 degrees
Space group R-3m (No. 166, hexagonal axes)
Symmetry-distinct sites (fractional):
K  0.0000  0.0000  0.2414
Y  0.0000  0.0000  0.0000
Zn  0.0000  0.0000  0.5000

energy of formation = 160 kJ/mol of formula units
calculated volume = 39.314 Å³ per atom



First-principles (PBE) data for crystalline K2YZn at its relaxed geometry, as listed in the Alexandria database.

Cell lengths 3.6897, 6.7083, 13.6588 Å; angles 90.00, 90.00, 90.00 degrees
Space group Imm2 (No. 44)
Symmetry-distinct sites (fractional):
K  0.0000  0.0000  0.0000
K  0.0000  0.5000  0.1974
Y  0.0000  0.5000  0.8173
Zn  0.0000  0.0000  0.4777

energy of formation = 129 kJ/mol of formula units
calculated volume = 42.259 Å³ per atom



First-principles (PBE) data for crystalline K2YZn at its relaxed geometry, as listed in the Alexandria database.

Cell lengths 4.6831, 4.6831, 13.0402 Å; angles 90.00, 90.00, 90.00 degrees
Space group I4/mmm (No. 139)
Symmetry-distinct sites (fractional):
K  0.0000  0.5000  0.2500
Y  0.0000  0.0000  0.0000
Zn  0.0000  0.0000  0.5000

energy of formation = 170 kJ/mol of formula units
calculated volume = 35.749 Å³ per atom



First-principles (PBE) data for crystalline K2YZn at its relaxed geometry, as listed in the Alexandria database.

Cell lengths 6.1753, 6.1753, 4.2443 Å; angles 90.00, 90.00, 90.00 degrees
Space group P4/mmm (No. 123)
Symmetry-distinct sites (fractional):
K  0.0000  0.5000  0.0000
Y  0.0000  0.0000  0.5000
Zn  0.5000  0.5000  0.5000

energy of formation = 236 kJ/mol of formula units
calculated volume = 40.464 Å³ per atom



> Among the records above, which one has the lowest energy of formation?

number 2